Here is a geometry-optimized LuCdCuIr structure from the Alexandria database. Energies are from PBE-GGA.

E (eV per cell): -19.7
ΔH_f (0 K) (eV per atom): -0.328
SG: F-43m, No. 216

a b c (Å): 4.6692 4.6692 4.6692
angles (deg): 60.00 60.00 60.00
Fractional coordinates of all 4 atoms:
Cd1 0.7500 0.7500 0.7500
Cu1 0.0000 0.0000 0.0000
Lu1 0.2500 0.2500 0.2500
Ir1 0.5000 0.5000 0.5000